--- A ---
Entry from Alexandria: Tb2Pm3Nd2 after structural relaxation (PBE).

Total moment ... 0.00 μB per cell
Theoretical density ... 7143 kg/m³

a = 3.5996 Å, b = 8.8035 Å, c = 9.3160 Å
α = 64.89°, β = 67.41°, γ = 90.01°
Last column: nearest neighbours and their distance in Å.
Fractional coordinates of all 7 atoms:
Tb 0.6230 0.7202 0.8734  3 Tb 3.47-3.60, 6 Pm 3.55-3.67, 2 Nd 3.57-3.58
Nd 0.0833 0.8320 0.4167  2 Tb 3.57-3.58, 3 Nd 3.60-3.83, 6 Pm 3.66-3.69
Tb 0.3770 0.2798 0.1266  3 Tb 3.47-3.60, 6 Pm 3.55-3.67, 2 Nd 3.57-3.58
Pm 0.7239 0.5520 0.2741  4 Pm 3.55-3.60, 4 Tb 3.55-3.67, 4 Nd 3.67-3.69
Nd 0.9167 0.1680 0.5833  2 Tb 3.57-3.58, 3 Nd 3.60-3.83, 6 Pm 3.66-3.69
Pm 0.2761 0.4480 0.7259  4 Pm 3.55-3.60, 4 Tb 3.55-3.67, 4 Nd 3.67-3.69
Pm 0.0000 0.0000 0.0000  4 Pm 3.55-3.60, 4 Tb 3.59-3.60, 4 Nd 3.66-3.67

--- B ---
Entry from Alexandria: Tb2Pm3Nd2 after structural relaxation (PBE).

Total moment ... 0.00 μB per cell
Theoretical density ... 7201 kg/m³

a = 3.5416 Å, b = 8.7648 Å, c = 9.0202 Å
α = 118.38°, β = 101.32°, γ = 90.00°
Last column: nearest neighbours and their distance in Å.
Fractional coordinates of all 7 atoms:
Pm 0.2130 0.8047 0.4260  5 Pm 3.40-3.54, 3 Tb 3.50-3.62, 3 Nd 3.67-3.77
Tb 0.5644 0.9061 0.1289  3 Tb 3.40-3.54, 5 Pm 3.50-3.63, 4 Nd 3.68-3.71
Pm 0.7870 0.1953 0.5740  5 Pm 3.40-3.54, 3 Tb 3.50-3.62, 3 Nd 3.67-3.77
Nd 0.1456 0.3251 0.2911  4 Nd 3.54-3.90, 4 Pm 3.58-3.77, 4 Tb 3.68-3.71
Tb 0.4356 0.0939 0.8711  3 Tb 3.40-3.54, 5 Pm 3.50-3.63, 4 Nd 3.68-3.71
Pm 0.0000 0.5000 0.0000  4 Pm 3.40-3.54, 2 Nd 3.58, 4 Tb 3.63
Nd 0.8544 0.6749 0.7089  4 Nd 3.54-3.90, 4 Pm 3.58-3.77, 4 Tb 3.68-3.71

Short version: A is the most stable of them.

--- A ---
Entry from Alexandria: Tb3Pm4Nd8 after structural relaxation (PBE).

Total moment ... 0.20 μB per cell
Theoretical density ... 7006 kg/m³

a = 6.9123 Å, b = 9.3733 Å, c = 9.3733 Å
α = 82.12°, β = 111.74°, γ = 111.74°
Last column: nearest neighbours and their distance in Å.
Fractional coordinates of all 15 atoms:
Nd 0.5000 0.2481 0.7519  1 Pm 3.05, 1 Tb 3.10
Pm 0.0000 0.0000 0.0000  2 Nd 3.05
Nd 0.2032 0.7019 0.7019  4 Nd 3.51-3.52, 2 Tb 3.57, 3 Pm 3.58-3.67
Tb 0.5000 0.5000 0.5000  4 Nd 3.10
Pm 0.0000 0.5000 0.0000  2 Tb 3.46, 8 Nd 3.53-3.58
Nd 0.5000 0.7519 0.2481  1 Pm 3.05, 1 Tb 3.10
Pm 0.5000 0.0000 0.0000  2 Nd 3.05
Pm 0.0000 0.0000 0.5000  2 Tb 3.46, 8 Nd 3.53-3.58
Nd 0.7968 0.2981 0.2981  4 Nd 3.51-3.52, 2 Tb 3.57, 3 Pm 3.58-3.67
Nd 0.7528 0.7520 0.7520  1 Pm 3.05, 1 Tb 3.10
Tb 0.5000 0.5000 0.0000  2 Pm 3.46, 8 Nd 3.53-3.57
Tb 0.5000 0.0000 0.5000  2 Pm 3.46, 8 Nd 3.53-3.57
Nd 0.2472 0.2480 0.2480  1 Pm 3.05, 1 Tb 3.10
Nd 0.0000 0.7023 0.2977  4 Nd 3.51-3.52, 2 Tb 3.57, 3 Pm 3.58-3.67
Nd 0.0000 0.2977 0.7023  4 Nd 3.51-3.52, 2 Tb 3.57, 3 Pm 3.58-3.67

--- B ---
Entry from Alexandria: Tb3Pm4Nd8 after structural relaxation (PBE).

Total moment ... 0.00 μB per cell
Theoretical density ... 6992 kg/m³

a = 7.0874 Å, b = 7.0874 Å, c = 12.7446 Å
α = 73.86°, β = 73.86°, γ = 60.00°
Last column: nearest neighbours and their distance in Å.
Fractional coordinates of all 15 atoms:
Tb 0.0000 0.0000 0.5000  6 Nd 3.53-3.61, 2 Pm 3.54, 4 Tb 3.54
Nd 0.2460 0.2460 0.2620  1 Pm 3.27, 3 Tb 3.53, 6 Nd 3.55
Nd 0.2472 0.7499 0.2530  6 Nd 3.52-3.56, 3 Pm 3.60-3.67, 2 Tb 3.61
Nd 0.7499 0.2472 0.2530  6 Nd 3.52-3.56, 3 Pm 3.60-3.67, 2 Tb 3.61
Nd 0.2501 0.2501 0.7470  6 Nd 3.52-3.56, 3 Pm 3.60-3.67, 2 Tb 3.61
Pm 0.6638 0.6638 0.0086  4 Nd 3.27-3.60
Tb 0.5000 0.0000 0.5000  6 Nd 3.53-3.61, 4 Tb 3.54, 2 Pm 3.54
Nd 0.7528 0.2501 0.7470  6 Nd 3.52-3.56, 3 Pm 3.60-3.67, 2 Tb 3.61
Pm 0.0000 0.0000 0.0000  6 Nd 3.67, 6 Pm 4.09
Tb 0.0000 0.5000 0.5000  6 Nd 3.53-3.61, 4 Tb 3.54, 2 Pm 3.54
Pm 0.5000 0.5000 0.5000  6 Tb 3.54, 6 Nd 3.62
Nd 0.2501 0.7528 0.7470  6 Nd 3.52-3.56, 3 Pm 3.60-3.67, 2 Tb 3.61
Nd 0.7540 0.7540 0.7380  1 Pm 3.27, 3 Tb 3.53, 6 Nd 3.55
Pm 0.3362 0.3362 0.9914  4 Nd 3.27-3.60
Nd 0.7499 0.7499 0.2530  6 Nd 3.52-3.56, 3 Pm 3.60-3.67, 2 Tb 3.61

Short version: B is the most stable of them.

--- A ---
Entry from Alexandria: Tb5Pm2Nd after structural relaxation (PBE).

Total moment ... 0.00 μB per cell
Theoretical density ... 7741 kg/m³

a = 5.0828 Å, b = 7.2004 Å, c = 14.4049 Å
α = 90.00°, β = 90.00°, γ = 90.00°
Last column: nearest neighbours and their distance in Å.
Fractional coordinates of all 16 atoms:
Tb 0.0000 0.4992 0.2508  7 Tb 3.59-3.60, 4 Pm 3.59-3.60, 1 Nd 3.61
Pm 0.5000 0.2512 0.6257  10 Tb 3.58-3.62, 2 Nd 3.61
Nd 0.0000 0.5000 0.0000  8 Tb 3.60-3.61, 4 Pm 3.61
Tb 0.5000 0.2497 0.3744  4 Pm 3.58-3.62, 6 Tb 3.59-3.60, 2 Nd 3.60
Tb 0.5000 0.7503 0.6256  4 Pm 3.58-3.62, 6 Tb 3.59-3.60, 2 Nd 3.60
Tb 0.0000 0.0008 0.7508  7 Tb 3.59-3.60, 4 Pm 3.59-3.60, 1 Nd 3.61
Tb 0.0000 0.5000 0.5000  6 Tb 3.59-3.60, 4 Pm 3.60, 2 Nd 3.60
Pm 0.5000 0.2488 0.1257  10 Tb 3.58-3.62, 2 Nd 3.61
Pm 0.5000 0.7512 0.8743  10 Tb 3.58-3.62, 2 Nd 3.61
Nd 0.0000 0.0000 0.5000  8 Tb 3.60-3.61, 4 Pm 3.61
Tb 0.5000 0.2503 0.8744  4 Pm 3.58-3.62, 6 Tb 3.59-3.60, 2 Nd 3.60
Tb 0.0000 0.5008 0.7492  7 Tb 3.59-3.60, 4 Pm 3.59-3.60, 1 Nd 3.61
Pm 0.5000 0.7488 0.3743  10 Tb 3.58-3.62, 2 Nd 3.61
Tb 0.0000 0.0000 0.0000  6 Tb 3.59-3.60, 4 Pm 3.60, 2 Nd 3.60
Tb 0.0000 0.9992 0.2492  7 Tb 3.59-3.60, 4 Pm 3.59-3.60, 1 Nd 3.61
Tb 0.5000 0.7497 0.1256  4 Pm 3.58-3.62, 6 Tb 3.59-3.60, 2 Nd 3.60

--- B ---
Entry from Alexandria: Tb5Pm2Nd after structural relaxation (PBE).

Total moment ... 0.00 μB per cell
Theoretical density ... 7686 kg/m³

a = 9.9862 Å, b = 6.5275 Å, c = 10.9627 Å
α = 119.36°, β = 117.09°, γ = 90.00°
Last column: nearest neighbours and their distance in Å.
Fractional coordinates of all 16 atoms:
Pm 0.1760 0.4608 0.8462  1 Nd 3.04, 2 Tb 3.20-3.37, 1 Pm 3.28
Tb 0.1070 0.3723 0.3940  1 Pm 3.48, 2 Nd 3.51, 7 Tb 3.67-3.77
Tb 0.9426 0.7500 0.0000  4 Pm 3.20-3.51, 2 Tb 3.46
Nd 0.5000 0.5000 0.5000  2 Pm 3.04
Tb 0.5098 0.5546 0.1969  4 Pm 3.37-3.76, 1 Nd 3.55, 5 Tb 3.67-3.73
Tb 0.2870 0.8723 0.3940  1 Pm 3.48, 2 Nd 3.51, 7 Tb 3.67-3.77
Tb 0.3128 0.9454 0.8031  4 Pm 3.37-3.76, 1 Nd 3.55, 5 Tb 3.67-3.73
Tb 0.8930 0.6277 0.6060  1 Pm 3.48, 2 Nd 3.51, 7 Tb 3.67-3.77
Tb 0.7130 0.1277 0.6060  1 Pm 3.48, 2 Nd 3.51, 7 Tb 3.67-3.77
Tb 0.6872 0.0546 0.1969  4 Pm 3.37-3.76, 1 Nd 3.55, 5 Tb 3.67-3.73
Pm 0.3297 0.0392 0.1538  1 Nd 3.04, 2 Tb 3.20-3.37, 1 Pm 3.28
Tb 0.4902 0.4454 0.8031  4 Pm 3.37-3.76, 1 Nd 3.55, 5 Tb 3.67-3.73
Tb 0.0574 0.2500 0.0000  4 Pm 3.20-3.51, 2 Tb 3.46
Pm 0.6703 0.9608 0.8462  1 Nd 3.04, 2 Tb 3.20-3.37, 1 Pm 3.28
Pm 0.8240 0.5392 0.1538  1 Nd 3.04, 2 Tb 3.20-3.37, 1 Pm 3.28
Nd 0.0000 0.0000 0.5000  2 Pm 3.04

Short version: A is the most stable of them.